Computed, not measured: a geometry-optimized CrOF structure at the PBE with a Hubbard U level of DFT.

Summary:
The uncorrected energy is -42.42 eV for the cell shown.

a b c (Å): 3.9505 3.0503 7.1844
angles (deg): 90.00 105.83 90.00
Closest atoms and distances in Å follow each position.
Space group P2_1/m (No. 11)
Inequivalent atoms, fractional coordinates:
Cr  0.1870  0.2500  0.3730 x2  2 F 1.98, 4 O 2.02-2.03
O  0.2832  0.7500  0.5669 x2  4 Cr 2.02-2.03
F  0.0967  0.7500  0.1913 x2  2 Cr 1.98